# Ag2Pb2S, relaxed, DFT GGA-PBE
# Total moment ... 0.00 μB/cell
# Excess energy over the best structure of this formula in the dataset ... 8 meV per atom
# DOS(E_F) ... 2.9 states/eV per cell
# Formation energy (no corrections) ... 0.390 eV per formula unit
data_Ag2Pb2S
_chemical_formula_sum 'Ag4 Pb4 S2'
_space_group_name_H-M_alt 'P 4/m b m'
_space_group_IT_number 127
_space_group_name_Hall '-P 4 2ab'
_cell_length_a 7.158
_cell_length_b 7.158
_cell_length_c 4.647
_cell_angle_alpha 90.00
_cell_angle_beta 90.00
_cell_angle_gamma 90.00
loop_
_atom_site_label
_atom_site_fract_x
_atom_site_fract_y
_atom_site_fract_z
Ag1 0.137 0.363 0.000
Pb1 0.167 0.667 0.500
S1 0.000 0.000 0.000

# Pr2ErSc, relaxed, DFT GGA-PBE
# Total moment ... 0.00 μB/cell
# Excess energy over the best structure of this formula in the dataset ... 4 meV per atom
# Energy of formation ... 0.04 eV per atom
# DOS(E_F) ... 21.8 states/eV per cell
data_Pr2ErSc
_chemical_formula_sum 'Pr8 Er4 Sc4'
_space_group_name_H-M_alt 'C 1 2/m 1'
_space_group_IT_number 12
_cell_length_a 12.034
_cell_length_b 7.252
_cell_length_c 6.016
_cell_angle_alpha 90.00
_cell_angle_beta 105.91
_cell_angle_gamma 90.00
loop_
_space_group_symop_operation_xyz
'x,y,z'
'-x,-y,-z'
'-x,y,-z'
'x,-y,z'
'x+1/2,y+1/2,z'
'-x+1/2,-y+1/2,-z'
'-x+1/2,y+1/2,-z'
'x+1/2,-y+1/2,z'
loop_
_atom_site_label
_atom_site_fract_x
_atom_site_fract_y
_atom_site_fract_z
Pr1 0.125 0.247 0.250
Er1 0.126 0.500 0.754
Sc1 0.124 0.000 0.747

# Cu2As2S3, relaxed, DFT GGA-PBE
# Total moment ... 0.00 μB/cell
# DOS(E_F) ... 6.2 states/eV per cell
# Formation energy (no corrections) ... -0.265 eV per formula unit
data_Cu2As2S3
_chemical_formula_sum 'Cu4 As4 S6'
_space_group_name_H-M_alt 'P 1 21/c 1'
_space_group_IT_number 14
_cell_length_a 6.931
_cell_length_b 7.290
_cell_length_c 5.970
_cell_angle_alpha 90.00
_cell_angle_beta 112.87
_cell_angle_gamma 90.00
loop_
_space_group_symop_operation_xyz
'x,y,z'
'-x,-y,-z'
'-x,y+1/2,-z+1/2'
'x,-y+1/2,z+1/2'
loop_
_atom_site_label
_atom_site_fract_x
_atom_site_fract_y
_atom_site_fract_z
Cu1 0.172 0.092 0.222
As1 0.365 0.583 0.327
S1 0.105 0.109 0.813
S2 0.500 0.000 0.500